# SmEr8Tm2 (PBE, optimized geometry)
data_SmEr8Tm2
_symmetry_space_group_name_H-M 'P 1'
_symmetry_Int_Tables_number 1
_cell_length_a 9.256
_cell_length_b 9.256
_cell_length_c 9.256
_cell_angle_alpha 145.89
_cell_angle_beta 128.56
_cell_angle_gamma 63.17
loop_
_symmetry_equiv_pos_as_xyz
'x,y,z'
loop_
_atom_site_label
_atom_site_fract_x
_atom_site_fract_y
_atom_site_fract_z
Sm1 0.000 0.000 0.000
Er1 0.153 0.860 0.293
Er2 0.163 0.663 0.500
Er3 0.295 0.500 0.795
Er4 0.433 0.140 0.293
Er5 0.567 0.860 0.707
Er6 0.705 0.500 0.205
Er7 0.837 0.337 0.500
Er8 0.847 0.140 0.707
Tm1 0.300 0.300 0.000
Tm2 0.700 0.700 0.000
# Total magnetization = 0.00 μB per atom
# ΔH_f (0 K) = 1.3 eV per formula unit
# Theoretical density = 8.82 g/cm³
# ΔE to the lowest computed polymorph = 0 meV/atom
# DFT total energy = -48.9 eV per cell
# Volume = 31.3 A^3/atom